Density functional theory data (PBE-GGA) for Y3ZnI3 after structural relaxation.

For the total magnetization, the calculation gives 0.000 μB/atom. As for the formation energy (no corrections): -0.889 eV per atom. The crystal system is cubic. Its theoretical density is 5251 kg/m³. As for the symmetry: I4_132 (214).

a = 10.541 Å, b = 10.541 Å, c = 10.541 Å
α = 109.47°, β = 109.47°, γ = 109.47°
Sites, in units of the cell vectors:
Y (0.966, 0.483, 0.233)
Y (0.517, 0.034, 0.267)
Y (0.250, 0.017, 0.483)
Y (0.983, 0.750, 0.017)
Y (0.983, 0.233, 0.466)
Y (0.767, 0.017, 0.034)
Y (0.733, 0.466, 0.483)
Y (0.767, 0.750, 0.233)
Y (0.534, 0.267, 0.017)
Y (0.250, 0.233, 0.267)
Y (0.733, 0.267, 0.750)
Y (0.517, 0.483, 0.750)
Zn (0.750, 0.500, 0.000)
Zn (0.500, 0.250, 0.500)
Zn (0.750, 0.250, 0.250)
Zn (0.000, 0.000, 0.250)
I (0.242, 0.992, 0.983)
I (0.750, 0.758, 0.742)
I (0.483, 0.742, 0.992)
I (0.008, 0.250, 0.992)
I (0.258, 0.742, 0.250)
I (0.492, 0.508, 0.250)
I (0.242, 0.250, 0.758)
I (0.258, 0.517, 0.508)
I (0.750, 0.992, 0.508)
I (0.017, 0.508, 0.758)
I (0.008, 0.758, 0.517)
I (0.492, 0.983, 0.742)